Computed, not measured: a relaxed Cu2PbBr2 crystal at the PBE-GGA level of DFT.

Computed properties:
total energy	-3.010	eV/atom
formation energy (no corrections)	0.040	eV/atom
calculated volume	254.5	Å³/cell
density of states at the Fermi level	0.290	states/eV per atom
crystal system	tetragonal
total magnetization	0.00	μB per formula unit

a b c (Å): 3.656 3.656 19.044
angles (deg): 90.00 90.00 90.00
Space group I4/mmm (No. 139)
Unique sites:
Cu  0.000  0.500  0.250
Pb  0.000  0.000  0.000
Br  0.000  0.000  0.345